# Cr2F5

A crystal of Cr2F5 relaxed with PBEsol (SCAN, Alexandria).

```
data_Cr2F5
_chemical_formula_sum 'Cr4 F10'
_cell_length_a 5.360
_cell_length_b 5.360
_cell_length_c 7.076
_cell_angle_alpha 68.13
_cell_angle_beta 68.13
_cell_angle_gamma 86.77
_symmetry_space_group_name_H-M 'P 1'
_symmetry_Int_Tables_number 1
_symmetry_space_group_name_Hall 'P 1'
loop_
_atom_site_label
_atom_site_fract_x
_atom_site_fract_y
_atom_site_fract_z
F1 0.910 0.352 0.819
Cr1 0.500 0.000 0.500
Cr2 0.000 0.500 0.500
F2 0.352 0.910 0.319
F3 0.177 0.823 0.750
F4 0.648 0.090 0.681
Cr3 0.500 0.000 0.000
F5 0.329 0.325 0.456
F6 0.671 0.675 0.544
Cr4 0.000 0.500 0.000
F7 0.325 0.329 0.956
F8 0.823 0.177 0.250
F9 0.090 0.648 0.181
F10 0.675 0.671 0.044
```

Values from the calculation:
Final energy ... -10.724 eV per atom
Calculated volume ... 174.3 Å³/cell
Uncorrected formation energy ... -2942 meV per atom


# Pd3Pb

A crystal of Pd3Pb relaxed with PBEsol (SCAN, Alexandria).

```
data_Pd3Pb
_chemical_formula_sum 'Pd3 Pb1'
_cell_length_a 4.032
_cell_length_b 4.032
_cell_length_c 4.032
_cell_angle_alpha 90.00
_cell_angle_beta 90.00
_cell_angle_gamma 90.00
_symmetry_space_group_name_H-M 'P 1'
_symmetry_Int_Tables_number 1
_symmetry_space_group_name_Hall 'P 1'
loop_
_atom_site_label
_atom_site_fract_x
_atom_site_fract_y
_atom_site_fract_z
Pb1 0.000 0.000 0.000
Pd1 0.000 0.500 0.500
Pd2 0.500 0.500 0.000
Pd3 0.500 0.000 0.500
```

Values from the calculation:
Final energy ... -43.790 eV per atom
Calculated formation energy ... -264 meV/atom
Calculated volume ... 65.5 Å³/cell
D(E_F) ... 1.336 states/eV/f.u.


# BaNdInO4

A crystal of BaNdInO4 relaxed with PBEsol (SCAN, Alexandria).

```
data_BaNdInO4
_chemical_formula_sum 'Ba4 Nd4 In4 O16'
_cell_length_a 6.057
_cell_length_b 8.297
_cell_length_c 9.093
_cell_angle_alpha 103.58
_cell_angle_beta 90.00
_cell_angle_gamma 90.00
_symmetry_space_group_name_H-M 'P 1'
_symmetry_Int_Tables_number 1
_symmetry_space_group_name_Hall 'P 1'
loop_
_atom_site_label
_atom_site_fract_x
_atom_site_fract_y
_atom_site_fract_z
In1 0.757 0.705 0.830
O1 0.512 0.881 0.348
O2 0.515 0.228 0.016
O3 0.052 0.832 0.391
Ba1 0.252 0.972 0.854
O4 0.552 0.668 0.609
In2 0.243 0.295 0.170
O5 0.310 0.548 0.183
Ba2 0.248 0.472 0.854
O6 0.485 0.772 0.984
O7 0.948 0.168 0.609
Nd1 0.753 0.394 0.546
Nd2 0.253 0.106 0.454
Nd3 0.747 0.894 0.546
O8 0.190 0.048 0.183
O9 0.985 0.728 0.016
O10 0.988 0.381 0.348
Ba3 0.752 0.528 0.146
Ba4 0.748 0.028 0.146
O11 0.690 0.452 0.817
O12 0.015 0.272 0.984
O13 0.012 0.619 0.652
O14 0.810 0.952 0.817
In3 0.743 0.205 0.830
O15 0.448 0.332 0.391
O16 0.488 0.119 0.652
Nd4 0.247 0.606 0.454
In4 0.257 0.795 0.170
```

Values from the calculation:
Final energy ... -23.005 eV per atom
Calculated volume ... 444.2 Å³/cell
D(E_F) ... 0.000 states/eV/f.u.
Uncorrected formation energy ... -2799 meV per atom


# TeSe2IN

A crystal of TeSe2IN relaxed with PBEsol (SCAN, Alexandria).

```
data_TeSe2IN
_chemical_formula_sum 'Te1 Se2 I1 N1'
_cell_length_a 3.957
_cell_length_b 5.439
_cell_length_c 5.439
_cell_angle_alpha 90.00
_cell_angle_beta 90.00
_cell_angle_gamma 90.00
_symmetry_space_group_name_H-M 'P 1'
_symmetry_Int_Tables_number 1
_symmetry_space_group_name_Hall 'P 1'
loop_
_atom_site_label
_atom_site_fract_x
_atom_site_fract_y
_atom_site_fract_z
I1 0.500 0.500 0.500
Se1 0.000 0.500 0.000
Te1 0.000 0.000 0.000
Se2 0.000 0.000 0.500
N1 0.500 0.000 0.000
```

Values from the calculation:
Final energy ... -23.652 eV per atom
Calculated volume ... 117.1 Å³/cell
D(E_F) ... 4.887 states/eV/f.u.
Uncorrected formation energy ... 1036 meV per atom


# LiMg2Zr

A crystal of LiMg2Zr relaxed with PBEsol (SCAN, Alexandria).

```
data_LiMg2Zr
_chemical_formula_sum 'Li1 Mg2 Zr1'
_cell_length_a 2.960
_cell_length_b 2.960
_cell_length_c 10.550
_cell_angle_alpha 90.00
_cell_angle_beta 90.00
_cell_angle_gamma 114.75
_symmetry_space_group_name_H-M 'P 1'
_symmetry_Int_Tables_number 1
_symmetry_space_group_name_Hall 'P 1'
loop_
_atom_site_label
_atom_site_fract_x
_atom_site_fract_y
_atom_site_fract_z
Mg1 0.000 0.000 0.005
Zr1 0.000 0.000 0.499
Mg2 0.500 0.500 0.751
Li1 0.500 0.500 0.245
```

Values from the calculation:
Final energy ... -10.683 eV per atom
Calculated formation energy ... 76 meV/atom
Calculated volume ... 84.0 Å³/cell
D(E_F) ... 2.311 states/eV/f.u.


# DyEr3

A crystal of DyEr3 relaxed with PBEsol (SCAN, Alexandria).

```
data_DyEr3
_chemical_formula_sum 'Dy2 Er6'
_cell_length_a 5.472
_cell_length_b 7.021
_cell_length_c 7.021
_cell_angle_alpha 120.00
_cell_angle_beta 90.00
_cell_angle_gamma 90.00
_symmetry_space_group_name_H-M 'P 1'
_symmetry_Int_Tables_number 1
_symmetry_space_group_name_Hall 'P 1'
loop_
_atom_site_label
_atom_site_fract_x
_atom_site_fract_y
_atom_site_fract_z
Dy1 0.750 0.333 0.667
Er1 0.750 0.834 0.166
Er2 0.250 0.667 0.834
Dy2 0.250 0.667 0.333
Er3 0.750 0.333 0.166
Er4 0.750 0.834 0.667
Er5 0.250 0.166 0.834
Er6 0.250 0.166 0.333
```

Values from the calculation:
Final energy ... -49.700 eV per atom
Calculated formation energy ... 4 meV/atom
Calculated volume ... 233.6 Å³/cell
D(E_F) ... 6.335 states/eV/f.u.


# MnOs3

A crystal of MnOs3 relaxed with PBEsol (SCAN, Alexandria).

```
data_MnOs3
_chemical_formula_sum 'Mn2 Os6'
_cell_length_a 4.216
_cell_length_b 5.361
_cell_length_c 5.361
_cell_angle_alpha 120.00
_cell_angle_beta 90.00
_cell_angle_gamma 90.00
_symmetry_space_group_name_H-M 'P 1'
_symmetry_Int_Tables_number 1
_symmetry_space_group_name_Hall 'P 1'
loop_
_atom_site_label
_atom_site_fract_x
_atom_site_fract_y
_atom_site_fract_z
Os1 0.250 0.829 0.659
Os2 0.750 0.171 0.829
Os3 0.250 0.341 0.171
Os4 0.750 0.171 0.341
Mn1 0.750 0.667 0.333
Os5 0.250 0.829 0.171
Mn2 0.250 0.333 0.667
Os6 0.750 0.659 0.829
```

Values from the calculation:
Final energy ... -58.478 eV per atom
Calculated formation energy ... -4 meV/atom
Calculated volume ... 104.9 Å³/cell
D(E_F) ... 3.197 states/eV/f.u.


# ZrSc5

A crystal of ZrSc5 relaxed with PBEsol (SCAN, Alexandria).

```
data_ZrSc5
_chemical_formula_sum 'Zr1 Sc5'
_cell_length_a 3.244
_cell_length_b 6.029
_cell_length_c 7.567
_cell_angle_alpha 102.21
_cell_angle_beta 90.00
_cell_angle_gamma 105.61
_symmetry_space_group_name_H-M 'P 1'
_symmetry_Int_Tables_number 1
_symmetry_space_group_name_Hall 'P 1'
loop_
_atom_site_label
_atom_site_fract_x
_atom_site_fract_y
_atom_site_fract_z
Sc1 0.667 0.334 0.329
Sc2 0.386 0.772 0.276
Zr1 0.720 0.440 0.942
Sc3 0.332 0.664 0.669
Sc4 0.061 0.121 0.616
Sc5 0.001 0.001 0.001
```

Values from the calculation:
ΔE to the lowest computed polymorph ... 0 meV/atom
Final energy ... -16.975 eV per atom
Calculated formation energy ... 6 meV/atom
Calculated volume ... 139.1 Å³/cell
D(E_F) ... 8.579 states/eV/f.u.


Question: Among the records above, which one has the highest calculated volume?
Answer: BaNdInO4


Question: What is the formula in the eighth record?
Answer: ZrSc5


Copy entry 4 word for word.
# TeSe2IN

A crystal of TeSe2IN relaxed with PBEsol (SCAN, Alexandria).

```
data_TeSe2IN
_chemical_formula_sum 'Te1 Se2 I1 N1'
_cell_length_a 3.957
_cell_length_b 5.439
_cell_length_c 5.439
_cell_angle_alpha 90.00
_cell_angle_beta 90.00
_cell_angle_gamma 90.00
_symmetry_space_group_name_H-M 'P 1'
_symmetry_Int_Tables_number 1
_symmetry_space_group_name_Hall 'P 1'
loop_
_atom_site_label
_atom_site_fract_x
_atom_site_fract_y
_atom_site_fract_z
I1 0.500 0.500 0.500
Se1 0.000 0.500 0.000
Te1 0.000 0.000 0.000
Se2 0.000 0.000 0.500
N1 0.500 0.000 0.000
```

Values from the calculation:
Final energy ... -23.652 eV per atom
Calculated volume ... 117.1 Å³/cell
D(E_F) ... 4.887 states/eV/f.u.
Uncorrected formation energy ... 1036 meV per atom


Question: What is the formula in the sixth record?
Answer: DyEr3